Entry 1:
The following is a PBE calculation of crystalline ErTm2P3 at its relaxed geometry, from Alexandria via LeMat-Bulk.

Results
Formation enthalpy at 0 K = -1.610 eV/atom
Electronic total energy = -6.565 eV/atom
Space group = Pnma
Total moment = 0.00 μB/f.u.
DOS at the Fermi energy = 0.100 states/eV/atom

Geometry as CIF:
```
data_ErTm2P3
_chemical_formula_sum 'Er4 Tm8 P12'
_cell_length_a 5.591
_cell_length_b 7.899
_cell_length_c 11.879
_cell_angle_alpha 90.00
_cell_angle_beta 90.00
_cell_angle_gamma 90.00
_space_group_name_H-M_alt 'P 1'
_space_group_IT_number 1
_space_group_name_Hall 'P 1'
loop_
_atom_site_label
_atom_site_type_symbol
_atom_site_fract_x
_atom_site_fract_y
_atom_site_fract_z
_atom_site_occupancy
Er1 Er 0.250 0.875 0.083 1
Er2 Er 0.250 0.375 0.417 1
Er3 Er 0.750 0.625 0.583 1
Er4 Er 0.750 0.125 0.917 1
Tm1 Tm 0.250 0.875 0.750 1
Tm2 Tm 0.250 0.375 0.750 1
Tm3 Tm 0.250 0.875 0.417 1
Tm4 Tm 0.250 0.375 0.083 1
Tm5 Tm 0.750 0.625 0.917 1
Tm6 Tm 0.750 0.125 0.583 1
Tm7 Tm 0.750 0.625 0.250 1
Tm8 Tm 0.750 0.125 0.250 1
P1 P 0.250 0.626 0.584 1
P2 P 0.250 0.126 0.916 1
P3 P 0.250 0.624 0.916 1
P4 P 0.250 0.124 0.584 1
P5 P 0.250 0.625 0.250 1
P6 P 0.250 0.125 0.250 1
P7 P 0.750 0.875 0.750 1
P8 P 0.750 0.375 0.750 1
P9 P 0.750 0.876 0.416 1
P10 P 0.750 0.376 0.084 1
P11 P 0.750 0.874 0.084 1
P12 P 0.750 0.374 0.416 1
```

---

Entry 2:
The following is a PBE calculation of crystalline YSi2Os2 at its relaxed geometry, from Alexandria via LeMat-Bulk.

Results
Uncorrected formation energy = -0.5395 eV/atom
Electronic total energy = -8.493 eV/atom
Space group = P4/mmm
Total moment = 0.00 μB/f.u.
DOS at the Fermi energy = 0.534 states/eV/atom

Geometry as CIF:
```
data_YSi2Os2
_chemical_formula_sum 'Y1 Si2 Os2'
_cell_length_a 4.085
_cell_length_b 4.085
_cell_length_c 5.019
_cell_angle_alpha 90.00
_cell_angle_beta 90.00
_cell_angle_gamma 90.00
_space_group_name_H-M_alt 'P 1'
_space_group_IT_number 1
_space_group_name_Hall 'P 1'
loop_
_atom_site_label
_atom_site_type_symbol
_atom_site_fract_x
_atom_site_fract_y
_atom_site_fract_z
_atom_site_occupancy
Y1 Y 0.000 0.000 0.000 1
Si1 Si 0.500 0.500 0.765 1
Si2 Si 0.500 0.500 0.235 1
Os1 Os 0.500 0.000 0.500 1
Os2 Os 0.000 0.500 0.500 1
```

---

Entry 3:
The following is a PBE calculation of crystalline Sr2MnCd at its relaxed geometry, from Alexandria via LeMat-Bulk.

Results
Formation enthalpy at 0 K = 0.162 eV/atom
Electronic total energy = -3.200 eV/atom
Space group = P4/mmm
Total moment = 3.99 μB/f.u.
DOS at the Fermi energy = 0.780 states/eV/atom

Geometry as CIF:
```
data_Sr2MnCd
_chemical_formula_sum 'Sr2 Mn1 Cd1'
_cell_length_a 4.008
_cell_length_b 4.008
_cell_length_c 7.921
_cell_angle_alpha 90.00
_cell_angle_beta 90.00
_cell_angle_gamma 89.99
_space_group_name_H-M_alt 'P 1'
_space_group_IT_number 1
_space_group_name_Hall 'P 1'
loop_
_atom_site_label
_atom_site_type_symbol
_atom_site_fract_x
_atom_site_fract_y
_atom_site_fract_z
_atom_site_occupancy
Cd1 Cd 0.500 0.500 0.250 1
Mn1 Mn 0.500 0.500 0.750 1
Sr1 Sr 0.000 0.000 0.993 1
Sr2 Sr 0.000 0.000 0.507 1
```

---

Entry 4:
The following is a PBE calculation of crystalline Pr3Nd8Sm2 at its relaxed geometry, from Alexandria via LeMat-Bulk.

Results
Formation enthalpy at 0 K = 0.146 eV/atom
Electronic total energy = -4.617 eV/atom
Space group = C2/m
Total moment = 0.00 μB/f.u.
DOS at the Fermi energy = 1.676 states/eV/atom

Geometry as CIF:
```
data_Pr3Nd8Sm2
_chemical_formula_sum 'Pr3 Nd8 Sm2'
_cell_length_a 6.286
_cell_length_b 11.974
_cell_length_c 8.988
_cell_angle_alpha 131.77
_cell_angle_beta 72.79
_cell_angle_gamma 90.00
_space_group_name_H-M_alt 'P 1'
_space_group_IT_number 1
_space_group_name_Hall 'P 1'
loop_
_atom_site_label
_atom_site_type_symbol
_atom_site_fract_x
_atom_site_fract_y
_atom_site_fract_z
_atom_site_occupancy
Pr1 Pr 0.500 0.000 0.000 1
Pr2 Pr 0.000 0.242 0.000 1
Pr3 Pr 0.000 0.758 0.000 1
Nd1 Nd 0.783 0.444 0.888 1
Nd2 Nd 0.217 0.556 0.112 1
Nd3 Nd 0.050 0.844 0.689 1
Nd4 Nd 0.950 0.156 0.311 1
Nd5 Nd 0.324 0.918 0.348 1
Nd6 Nd 0.324 0.430 0.348 1
Nd7 Nd 0.676 0.570 0.652 1
Nd8 Nd 0.676 0.082 0.652 1
Sm1 Sm 0.646 0.711 0.421 1
Sm2 Sm 0.354 0.289 0.579 1
```

---

Entry 5:
The following is a PBE calculation of crystalline Tb3Pr12Tm at its relaxed geometry, from Alexandria via LeMat-Bulk.

Results
Formation enthalpy at 0 K = 0.012 eV/atom
Electronic total energy = -4.720 eV/atom
Space group = P4/mmm
Total moment = 0.00 μB/f.u.
DOS at the Fermi energy = 1.532 states/eV/atom

Geometry as CIF:
```
data_Tb3Pr12Tm
_chemical_formula_sum 'Tb3 Pr12 Tm1'
_cell_length_a 5.193
_cell_length_b 5.193
_cell_length_c 20.721
_cell_angle_alpha 90.00
_cell_angle_beta 90.00
_cell_angle_gamma 90.00
_space_group_name_H-M_alt 'P 1'
_space_group_IT_number 1
_space_group_name_Hall 'P 1'
loop_
_atom_site_label
_atom_site_type_symbol
_atom_site_fract_x
_atom_site_fract_y
_atom_site_fract_z
_atom_site_occupancy
Tb1 Tb 0.000 0.000 0.249 1
Tb2 Tb 0.000 0.000 0.500 1
Tb3 Tb 0.000 0.000 0.751 1
Pr1 Pr 0.500 0.500 0.000 1
Pr2 Pr 0.500 0.500 0.249 1
Pr3 Pr 0.500 0.500 0.500 1
Pr4 Pr 0.500 0.500 0.751 1
Pr5 Pr 0.500 0.000 0.124 1
Pr6 Pr 0.500 0.000 0.375 1
Pr7 Pr 0.500 0.000 0.625 1
Pr8 Pr 0.500 0.000 0.876 1
Pr9 Pr 0.000 0.500 0.124 1
Pr10 Pr 0.000 0.500 0.375 1
Pr11 Pr 0.000 0.500 0.625 1
Pr12 Pr 0.000 0.500 0.876 1
Tm1 Tm 0.000 0.000 0.000 1
```

---

Entry 6:
The following is a PBE calculation of crystalline Pm2ScGe2 at its relaxed geometry, from Alexandria via LeMat-Bulk.

Results
Formation enthalpy at 0 K = -0.772 eV/atom
Electronic total energy = -5.786 eV/atom
Space group = Immm
Total moment = 0.00 μB/f.u.
DOS at the Fermi energy = 0.977 states/eV/atom

Geometry as CIF:
```
data_Pm2ScGe2
_chemical_formula_sum 'Pm2 Sc1 Ge2'
_cell_length_a 4.297
_cell_length_b 5.976
_cell_length_c 5.976
_cell_angle_alpha 62.40
_cell_angle_beta 68.93
_cell_angle_gamma 68.93
_space_group_name_H-M_alt 'P 1'
_space_group_IT_number 1
_space_group_name_Hall 'P 1'
loop_
_atom_site_label
_atom_site_type_symbol
_atom_site_fract_x
_atom_site_fract_y
_atom_site_fract_z
_atom_site_occupancy
Pm1 Pm 0.702 0.798 0.298 1
Pm2 Pm 0.298 0.202 0.702 1
Sc1 Sc 0.500 0.500 0.000 1
Ge1 Ge 0.000 0.217 0.283 1
Ge2 Ge 0.000 0.783 0.717 1
```

---

Entry 7:
The following is a PBE calculation of crystalline CaTcRh at its relaxed geometry, from Alexandria via LeMat-Bulk.

Results
Formation enthalpy at 0 K = -0.006 eV/atom
Electronic total energy = -6.579 eV/atom
Space group = P2_1/m
Total moment = 0.00 μB/f.u.
DOS at the Fermi energy = 0.532 states/eV/atom

Geometry as CIF:
```
data_CaTcRh
_chemical_formula_sum 'Ca2 Tc2 Rh2'
_cell_length_a 5.209
_cell_length_b 4.228
_cell_length_c 5.762
_cell_angle_alpha 90.00
_cell_angle_beta 77.76
_cell_angle_gamma 90.00
_space_group_name_H-M_alt 'P 1'
_space_group_IT_number 1
_space_group_name_Hall 'P 1'
loop_
_atom_site_label
_atom_site_type_symbol
_atom_site_fract_x
_atom_site_fract_y
_atom_site_fract_z
_atom_site_occupancy
Ca1 Ca 0.281 0.045 0.186 1
Ca2 Ca 0.744 0.545 0.364 1
Rh1 Rh 0.596 0.545 0.893 1
Rh2 Rh 0.429 0.044 0.657 1
Tc1 Tc 0.122 0.545 0.800 1
Tc2 Tc 0.903 0.045 0.750 1
```

---

Entry 8:
The following is a PBE calculation of crystalline Tm6AgRu5 at its relaxed geometry, from Alexandria via LeMat-Bulk.

Results
Formation enthalpy at 0 K = -0.442 eV/atom
Electronic total energy = -6.780 eV/atom
Space group = Cmmm
Total moment = 0.00 μB/f.u.
DOS at the Fermi energy = 0.607 states/eV/atom

Geometry as CIF:
```
data_Tm6AgRu5
_chemical_formula_sum 'Tm6 Ag1 Ru5'
_cell_length_a 4.794
_cell_length_b 6.794
_cell_length_c 7.542
_cell_angle_alpha 90.00
_cell_angle_beta 108.56
_cell_angle_gamma 90.00
_space_group_name_H-M_alt 'P 1'
_space_group_IT_number 1
_space_group_name_Hall 'P 1'
loop_
_atom_site_label
_atom_site_type_symbol
_atom_site_fract_x
_atom_site_fract_y
_atom_site_fract_z
_atom_site_occupancy
Ru1 Ru 0.666 0.500 0.332 1
Ru2 Ru 0.336 0.000 0.671 1
Ru3 Ru 0.000 0.500 0.000 1
Ru4 Ru 0.664 0.000 0.329 1
Ru5 Ru 0.334 0.500 0.668 1
Tm1 Tm 0.829 0.746 0.658 1
Tm2 Tm 0.829 0.254 0.658 1
Tm3 Tm 0.500 0.261 0.000 1
Tm4 Tm 0.500 0.739 0.000 1
Tm5 Tm 0.171 0.746 0.342 1
Tm6 Tm 0.171 0.254 0.342 1
Ag1 Ag 0.000 0.000 0.000 1
```

---

Entry 9:
The following is a PBE calculation of crystalline TbYTmAl at its relaxed geometry, from Alexandria via LeMat-Bulk.

Results
Formation enthalpy at 0 K = -0.073 eV/atom
Electronic total energy = -4.900 eV/atom
Space group = F-43m
Total moment = 0.00 μB/f.u.
DOS at the Fermi energy = 1.499 states/eV/atom

Geometry as CIF:
```
data_TbYTmAl
_chemical_formula_sum 'Tb1 Y1 Tm1 Al1'
_cell_length_a 5.337
_cell_length_b 5.337
_cell_length_c 5.337
_cell_angle_alpha 60.00
_cell_angle_beta 60.00
_cell_angle_gamma 60.00
_space_group_name_H-M_alt 'P 1'
_space_group_IT_number 1
_space_group_name_Hall 'P 1'
loop_
_atom_site_label
_atom_site_type_symbol
_atom_site_fract_x
_atom_site_fract_y
_atom_site_fract_z
_atom_site_occupancy
Y1 Y 0.500 0.500 0.500 1
Tm1 Tm 0.750 0.750 0.750 1
Tb1 Tb 0.000 0.000 0.000 1
Al1 Al 0.250 0.250 0.250 1
```

---

Entry 10:
The following is a PBE calculation of crystalline SrYSc at its relaxed geometry, from Alexandria via LeMat-Bulk.

Results
Formation enthalpy at 0 K = 0.233 eV/atom
Electronic total energy = -4.593 eV/atom
Space group = P3m1
Total moment = 0.00 μB/f.u.
DOS at the Fermi energy = 1.901 states/eV/atom

Geometry as CIF:
```
data_SrYSc
_chemical_formula_sum 'Sr1 Y1 Sc1'
_cell_length_a 3.650
_cell_length_b 3.650
_cell_length_c 8.914
_cell_angle_alpha 90.00
_cell_angle_beta 90.00
_cell_angle_gamma 120.00
_space_group_name_H-M_alt 'P 1'
_space_group_IT_number 1
_space_group_name_Hall 'P 1'
loop_
_atom_site_label
_atom_site_type_symbol
_atom_site_fract_x
_atom_site_fract_y
_atom_site_fract_z
_atom_site_occupancy
Sc1 Sc 0.000 0.000 0.981 1
Sr1 Sr 0.667 0.333 0.324 1
Y1 Y 0.333 0.667 0.695 1
```

---

Entry 11:
The following is a PBE calculation of crystalline InCuIrAu at its relaxed geometry, from Alexandria via LeMat-Bulk.

Results
Formation enthalpy at 0 K = 0.083 eV/atom
Electronic total energy = -4.660 eV/atom
Space group = F-43m
Total moment = 0.00 μB/f.u.
DOS at the Fermi energy = 0.765 states/eV/atom

Geometry as CIF:
```
data_InCuIrAu
_chemical_formula_sum 'In1 Cu1 Ir1 Au1'
_cell_length_a 4.530
_cell_length_b 4.530
_cell_length_c 4.530
_cell_angle_alpha 60.00
_cell_angle_beta 60.00
_cell_angle_gamma 60.00
_space_group_name_H-M_alt 'P 1'
_space_group_IT_number 1
_space_group_name_Hall 'P 1'
loop_
_atom_site_label
_atom_site_type_symbol
_atom_site_fract_x
_atom_site_fract_y
_atom_site_fract_z
_atom_site_occupancy
Ir1 Ir 0.000 0.000 0.000 1
Au1 Au 0.500 0.500 0.500 1
Cu1 Cu 0.250 0.250 0.250 1
In1 In 0.750 0.750 0.750 1
```

---

Entry 12:
The following is a PBE calculation of crystalline AsBr4Cl at its relaxed geometry, from Alexandria via LeMat-Bulk.

Results
Uncorrected formation energy = 0.8372 eV/atom
Electronic total energy = -1.361 eV/atom
Space group = F-43m
Total moment = 1.85 μB/f.u.
DOS at the Fermi energy = 1.441 states/eV/atom

Geometry as CIF:
```
data_AsBr4Cl
_chemical_formula_sum 'As1 Br4 Cl1'
_cell_length_a 6.110
_cell_length_b 6.110
_cell_length_c 6.110
_cell_angle_alpha 60.00
_cell_angle_beta 60.00
_cell_angle_gamma 60.00
_space_group_name_H-M_alt 'P 1'
_space_group_IT_number 1
_space_group_name_Hall 'P 1'
loop_
_atom_site_label
_atom_site_type_symbol
_atom_site_fract_x
_atom_site_fract_y
_atom_site_fract_z
_atom_site_occupancy
As1 As 0.000 0.000 0.000 1
Br1 Br 0.875 0.375 0.375 1
Br2 Br 0.375 0.375 0.875 1
Br3 Br 0.375 0.875 0.375 1
Br4 Br 0.375 0.375 0.375 1
Cl1 Cl 0.750 0.750 0.750 1
```